(P)
## Ac2Zn2Pt3 (PBE)

Data for a geometry-optimized Ac2Zn2Pt3 structure.

Cell lengths 5.9534, 5.9534, 7.2953 Å; angles 111.27, 111.27, 40.52 degrees
Last column: nearest neighbours and their distance in Å.
Fractional coordinates of all 7 atoms:
Ac 0.1244 0.1244 0.2614  4 Zn 3.11-3.36, 6 Pt 3.13-3.33
Ac 0.8756 0.8756 0.7386  4 Zn 3.11-3.36, 6 Pt 3.13-3.33
Zn 0.1537 0.1537 0.7379  5 Pt 2.62-2.81
Zn 0.8463 0.8463 0.2621  5 Pt 2.62-2.81
Pt 0.3782 0.3782 0.0630  3 Zn 2.62-2.70
Pt 0.5000 0.5000 0.5000  4 Zn 2.81, 2 Pt 2.94
Pt 0.6218 0.6218 0.9370  3 Zn 2.62-2.70

Output
The calculation puts the density at 12542 kg/m³. For the magnetic moment, the calculation gives 0.0000 μB/atom.

***

(Q)
## Ac2Zn2Pt3 (PBE)

Data for a geometry-optimized Ac2Zn2Pt3 structure.

Cell lengths 9.9420, 9.9420, 7.6476 Å; angles 90.00, 90.00, 155.18 degrees
Last column: nearest neighbours and their distance in Å.
Fractional coordinates of all 14 atoms:
Ac 0.0610 0.9390 0.7500  5 Pt 3.17
Ac 0.1543 0.8457 0.2500  6 Pt 3.12-3.18, 6 Zn 3.28-3.29
Ac 0.8457 0.1543 0.7500  6 Pt 3.12-3.18, 6 Zn 3.28-3.29
Ac 0.9390 0.0610 0.2500  5 Pt 3.17
Zn 0.3064 0.6936 0.0599  4 Pt 2.64-2.86, 1 Zn 2.91
Zn 0.3064 0.6936 0.4401  4 Pt 2.64-2.86, 1 Zn 2.91
Zn 0.6936 0.3064 0.5599  4 Pt 2.64-2.86, 1 Zn 2.91
Zn 0.6936 0.3064 0.9401  4 Pt 2.64-2.86, 1 Zn 2.91
Pt 0.2243 0.7757 0.7500  6 Zn 2.65-2.86
Pt 0.4342 0.5658 0.5562  1 Zn 2.64, 1 Pt 2.70
Pt 0.4342 0.5658 0.9438  1 Zn 2.64, 1 Pt 2.70
Pt 0.5658 0.4342 0.0562  1 Zn 2.64, 1 Pt 2.70
Pt 0.5658 0.4342 0.4438  1 Zn 2.64, 1 Pt 2.70
Pt 0.7757 0.2243 0.2500  6 Zn 2.65-2.86

Output
The calculation puts the density at 12248 kg/m³. For the magnetic moment, the calculation gives 0.0000 μB/atom.

***

Stability order, top to bottom: (Q), (P)

***

(P)
## Ac3ZnPt (PBE)

Data for a geometry-optimized Ac3ZnPt structure.

Cell lengths 9.4395, 7.2955, 10.8480 Å; angles 90.00, 109.88, 90.00 degrees
Last column: nearest neighbours and their distance in Å.
Fractional coordinates of all 20 atoms:
Ac 0.1169 0.0346 0.2516  1 Pt 3.06, 1 Zn 3.38
Ac 0.1169 0.4654 0.7516  1 Pt 3.06, 1 Zn 3.38
Ac 0.2888 0.5774 0.4630  2 Pt 2.99-3.05, 1 Zn 3.28
Ac 0.2888 0.9226 0.9630  2 Pt 2.99-3.05, 1 Zn 3.28
Ac 0.3713 0.0660 0.6327  3 Pt 3.03-3.08
Ac 0.3713 0.4340 0.1327  3 Pt 3.03-3.08
Ac 0.6287 0.5660 0.8673  3 Pt 3.03-3.08
Ac 0.6287 0.9340 0.3673  3 Pt 3.03-3.08
Ac 0.7112 0.0774 0.0370  2 Pt 2.99-3.05, 1 Zn 3.28
Ac 0.7112 0.4226 0.5370  2 Pt 2.99-3.05, 1 Zn 3.28
Ac 0.8831 0.5346 0.2484  1 Pt 3.06, 1 Zn 3.38
Ac 0.8831 0.9654 0.7484  1 Pt 3.06, 1 Zn 3.38
Zn 0.0232 0.6796 0.0170  1 Zn 2.66
Zn 0.0232 0.8204 0.5170  1 Zn 2.66
Zn 0.9768 0.1796 0.4830  1 Zn 2.66
Zn 0.9768 0.3204 0.9830  1 Zn 2.66
Pt 0.4136 0.2345 0.3877  6 Ac 2.99-3.08
Pt 0.4136 0.2655 0.8877  6 Ac 2.99-3.08
Pt 0.5864 0.7345 0.1123  6 Ac 2.99-3.08
Pt 0.5864 0.7655 0.6123  6 Ac 2.99-3.08

Output
The calculation puts the density at 8901 kg/m³. For the magnetic moment, the calculation gives 0.0000 μB/atom.

***

(Q)
## Ac3ZnPt (PBE)

Data for a geometry-optimized Ac3ZnPt structure.

Cell lengths 11.2251, 11.2251, 7.2713 Å; angles 96.53, 96.53, 21.54 degrees
Last column: nearest neighbours and their distance in Å.
Fractional coordinates of all 10 atoms:
Ac 0.0120 0.0120 0.2464  4 Pt 3.19-3.23, 1 Ac 3.56
Ac 0.1761 0.1761 0.1015  2 Pt 3.09, 2 Zn 3.38
Ac 0.3691 0.3691 0.3901  1 Pt 3.21, 3 Zn 3.22-3.37
Ac 0.6309 0.6309 0.6099  1 Pt 3.21, 3 Zn 3.22-3.37
Ac 0.8239 0.8239 0.8985  2 Pt 3.09, 2 Zn 3.38
Ac 0.9880 0.9880 0.7536  4 Pt 3.19-3.23, 1 Ac 3.56
Zn 0.2413 0.2413 0.6033  2 Zn 2.63
Zn 0.7587 0.7587 0.3967  2 Zn 2.63
Pt 0.4249 0.4249 0.0021  7 Ac 3.09-3.23, 1 Pt 3.31
Pt 0.5751 0.5751 0.9979  7 Ac 3.09-3.23, 1 Pt 3.31

Output
The calculation puts the density at 9359 kg/m³. For the magnetic moment, the calculation gives 0.0000 μB/atom.

***

Stability order, top to bottom: (Q), (P)

***

(P)
## Ac3Pu (PBE)

Data for a geometry-optimized Ac3Pu structure.

Cell lengths 7.4517, 7.4517, 7.4517 Å; angles 149.18, 60.32, 129.52 degrees
Last column: nearest neighbours and their distance in Å.
Fractional coordinates of all 4 atoms:
Ac 0.0000 0.0000 0.0000  4 Pu 3.74-3.75, 6 Ac 3.96-4.07
Ac 0.2802 0.5042 0.7760  2 Pu 3.50, 4 Ac 3.80
Ac 0.7282 0.5042 0.2240  2 Pu 3.50, 4 Ac 3.80
Pu 0.4989 0.9989 0.5000  8 Ac 3.50-3.75

Output
The calculation puts the density at 9473 kg/m³. For the magnetic moment, the calculation gives 1.7415 μB/atom.

***

(Q)
## Ac3Pu (PBE)

Data for a geometry-optimized Ac3Pu structure.

Cell lengths 5.4431, 5.4431, 5.4431 Å; angles 90.00, 90.00, 90.00 degrees
Last column: nearest neighbours and their distance in Å.
Fractional coordinates of all 4 atoms:
Ac 0.0000 0.0000 0.5000  8 Ac 3.85, 4 Pu 3.85
Ac 0.0000 0.5000 0.0000  8 Ac 3.85, 4 Pu 3.85
Ac 0.5000 0.0000 0.0000  8 Ac 3.85, 4 Pu 3.85
Pu 0.5000 0.5000 0.5000  12 Ac 3.85

Output
The calculation puts the density at 9525 kg/m³. For the magnetic moment, the calculation gives 1.7434 μB/atom.

***

Stability order, top to bottom: (Q), (P)

***

(P)
## Ac3Pu (PBE)

Data for a geometry-optimized Ac3Pu structure.

Cell lengths 3.9039, 6.2484, 6.7199 Å; angles 90.00, 90.00, 90.00 degrees
Last column: nearest neighbours and their distance in Å.
Fractional coordinates of all 4 atoms:
Ac 0.0000 0.0000 0.0000  4 Pu 3.85-3.92, 8 Ac 3.86-3.90
Ac 0.0000 0.5000 0.3427  8 Ac 3.81-3.96, 4 Pu 3.84
Ac 0.5000 0.5000 0.8297  2 Pu 3.81, 10 Ac 3.81-3.96
Pu 0.5000 0.0000 0.5055  10 Ac 3.81-3.92, 2 Pu 3.90

Output
The calculation puts the density at 9370 kg/m³. For the magnetic moment, the calculation gives 1.6764 μB/atom.

***

(Q)
## Ac3Pu (PBE)

Data for a geometry-optimized Ac3Pu structure.

Cell lengths 6.6683, 6.6683, 6.6683 Å; angles 131.83, 131.83, 70.49 degrees
Last column: nearest neighbours and their distance in Å.
Fractional coordinates of all 4 atoms:
Ac 0.0000 0.0000 0.0000  4 Pu 3.85, 8 Ac 3.85
Ac 0.2500 0.7500 0.5000  8 Ac 3.85, 4 Pu 3.85
Ac 0.7500 0.2500 0.5000  8 Ac 3.85, 4 Pu 3.85
Pu 0.5000 0.5000 0.0000  12 Ac 3.85

Output
The calculation puts the density at 9523 kg/m³. For the magnetic moment, the calculation gives 1.6945 μB/atom.

***

Stability order, top to bottom: (Q), (P)

***

(P)
## AcPuRh2 (PBE)

Data for a geometry-optimized AcPuRh2 structure.

Cell lengths 7.2806, 7.2806, 3.9010 Å; angles 105.44, 105.44, 31.08 degrees
Last column: nearest neighbours and their distance in Å.
Fractional coordinates of all 4 atoms:
Ac 0.0000 0.0000 0.0000  8 Rh 3.15-3.16
Pu 0.7500 0.7500 0.2481  4 Rh 2.68
Rh 0.3862 0.3862 0.3878  2 Pu 2.68
Rh 0.6138 0.6138 0.6133  2 Pu 2.68

Output
The calculation puts the density at 10955 kg/m³. For the magnetic moment, the calculation gives 1.2496 μB/atom.

***

(Q)
## AcPuRh2 (PBE)

Data for a geometry-optimized AcPuRh2 structure.

Cell lengths 4.2255, 4.2255, 11.9408 Å; angles 90.00, 90.00, 90.00 degrees
Last column: nearest neighbours and their distance in Å.
Fractional coordinates of all 8 atoms:
Ac 0.2491 0.2491 0.3732  5 Rh 2.99-3.12
Ac 0.7509 0.7509 0.6268  5 Rh 2.99-3.12
Pu 0.2502 0.2502 0.8583  5 Rh 2.67-2.71
Pu 0.7498 0.7498 0.1417  5 Rh 2.67-2.71
Rh 0.2499 0.7501 0.0000  4 Pu 2.71, 4 Rh 2.99
Rh 0.2512 0.2512 0.6343  1 Pu 2.67, 4 Ac 2.99
Rh 0.7488 0.7488 0.3657  1 Pu 2.67, 4 Ac 2.99
Rh 0.7501 0.2499 0.0000  4 Pu 2.71, 4 Rh 2.99

Output
The calculation puts the density at 10543 kg/m³. For the magnetic moment, the calculation gives 1.2385 μB/atom.

***

(R)
## AcPuRh2 (PBE)

Data for a geometry-optimized AcPuRh2 structure.

Cell lengths 7.1491, 7.1491, 7.1491 Å; angles 33.96, 33.96, 33.96 degrees
Last column: nearest neighbours and their distance in Å.
Fractional coordinates of all 4 atoms:
Ac 0.0000 0.0000 0.0000  6 Rh 3.10-3.31
Pu 0.1755 0.1755 0.1755  6 Rh 2.71-2.73
Rh 0.5700 0.5700 0.5700  3 Pu 2.71
Rh 0.7789 0.7789 0.7789  3 Pu 2.73

Output
The calculation puts the density at 11062 kg/m³. For the magnetic moment, the calculation gives 1.1836 μB/atom.

***

Stability order, top to bottom: (R), (Q), (P)

***

(P)
## AcPuRh2 (PBE)

Data for a geometry-optimized AcPuRh2 structure.

Cell lengths 3.5421, 3.5421, 7.2586 Å; angles 90.00, 90.00, 90.00 degrees
Last column: nearest neighbours and their distance in Å.
Fractional coordinates of all 4 atoms:
Ac 0.0000 0.0000 0.0000  8 Rh 3.26, 4 Ac 3.54, 2 Pu 3.63
Pu 0.0000 0.0000 0.5000  8 Rh 2.94
Rh 0.5000 0.5000 0.2882  4 Pu 2.94, 1 Rh 3.08, 4 Ac 3.26
Rh 0.5000 0.5000 0.7118  4 Pu 2.94, 1 Rh 3.08, 4 Ac 3.26

Output
The calculation puts the density at 12341 kg/m³. For the magnetic moment, the calculation gives 1.1816 μB/atom.

***

(Q)
## AcPuRh2 (PBE)

Data for a geometry-optimized AcPuRh2 structure.

Cell lengths 5.0542, 5.0542, 5.0542 Å; angles 60.00, 60.00, 60.00 degrees
Last column: nearest neighbours and their distance in Å.
Fractional coordinates of all 4 atoms:
Ac 0.0000 0.0000 0.0000  8 Rh 3.10
Pu 0.5000 0.5000 0.5000  8 Rh 3.10
Rh 0.2500 0.2500 0.2500  4 Pu 3.10, 4 Ac 3.10
Rh 0.7500 0.7500 0.7500  4 Pu 3.10, 4 Ac 3.10

Output
The calculation puts the density at 12311 kg/m³. For the magnetic moment, the calculation gives 1.1870 μB/atom.

***

(R)
## AcPuRh2 (PBE)

Data for a geometry-optimized AcPuRh2 structure.

Cell lengths 6.2947, 6.2947, 6.2947 Å; angles 41.29, 41.29, 41.29 degrees
Last column: nearest neighbours and their distance in Å.
Fractional coordinates of all 4 atoms:
Ac 0.0000 0.0000 0.0000  6 Rh 3.26
Pu 0.5000 0.5000 0.5000  6 Rh 2.70
Rh 0.2165 0.2165 0.2165  3 Pu 2.70
Rh 0.7835 0.7835 0.7835  3 Pu 2.70

Output
The calculation puts the density at 11456 kg/m³. For the magnetic moment, the calculation gives 1.1384 μB/atom.

***

Stability order, top to bottom: (R), (P), (Q)